[1]
Density functional theory data (SCAN) for a PBEsol-optimized structure of La5Ag3.

Structure (CIF):
```
data_La5Ag3
_symmetry_space_group_name_H-M 'P 63/m c m'
_symmetry_Int_Tables_number 193
_symmetry_space_group_name_Hall '-P 6c 2'
_cell_length_a 9.0890
_cell_length_b 9.0890
_cell_length_c 6.9153
_cell_angle_alpha 90.00
_cell_angle_beta 90.00
_cell_angle_gamma 120.00
loop_
_atom_site_label
_atom_site_type_symbol
_atom_site_fract_x
_atom_site_fract_y
_atom_site_fract_z
La1 La 0.0000 0.2371 0.2500
La2 La 0.3333 0.6667 0.0000
Ag1 Ag 0.0000 0.4023 0.7500
```

Properties
ΔH_f (0 K) in meV per atom: -218

[2]
Density functional theory data (SCAN) for a PBEsol-optimized structure of Co2Ge2Bi.

Structure (CIF):
```
data_Co2Ge2Bi
_symmetry_space_group_name_H-M 'I 4/m m m'
_symmetry_Int_Tables_number 139
_symmetry_space_group_name_Hall '-I 4 2'
_cell_length_a 3.697
_cell_length_b 3.697
_cell_length_c 11.447
_cell_angle_alpha 90.00
_cell_angle_beta 90.00
_cell_angle_gamma 90.00
loop_
_atom_site_label
_atom_site_type_symbol
_atom_site_fract_x
_atom_site_fract_y
_atom_site_fract_z
Co1 Co 0.000 0.000 0.119
Ge1 Ge 0.000 0.500 0.250
Bi1 Bi 0.000 0.000 0.500
```

Properties
ΔH_f (0 K) in meV per atom: 219

[3]
Density functional theory data (SCAN) for a PBEsol-optimized structure of Ta2TlRe.

Structure (CIF):
```
data_Ta2TlRe
_symmetry_space_group_name_H-M 'C m m m'
_symmetry_Int_Tables_number 65
_symmetry_space_group_name_Hall '-C 2 2'
_cell_length_a 5.737
_cell_length_b 7.782
_cell_length_c 3.125
_cell_angle_alpha 90.00
_cell_angle_beta 90.00
_cell_angle_gamma 90.00
loop_
_atom_site_label
_atom_site_type_symbol
_atom_site_fract_x
_atom_site_fract_y
_atom_site_fract_z
Ta1 Ta 0.250 0.250 0.000
Tl1 Tl 0.000 0.000 0.500
Re1 Re 0.000 0.500 0.500
```

Properties
ΔH_f (0 K) in meV per atom: 268

[4]
Density functional theory data (SCAN) for a PBEsol-optimized structure of BaLa2CuSb.

Structure (CIF):
```
data_BaLa2CuSb
_symmetry_space_group_name_H-M 'P 4/m m m'
_symmetry_Int_Tables_number 123
_symmetry_space_group_name_Hall '-P 4 2'
_cell_length_a 5.832
_cell_length_b 5.832
_cell_length_c 4.873
_cell_angle_alpha 90.00
_cell_angle_beta 90.00
_cell_angle_gamma 90.00
loop_
_atom_site_label
_atom_site_type_symbol
_atom_site_fract_x
_atom_site_fract_y
_atom_site_fract_z
Ba1 Ba 0.000 0.000 0.000
La1 La 0.000 0.500 0.000
Cu1 Cu 0.000 0.000 0.500
Sb1 Sb 0.500 0.500 0.500
```

Properties
Formation energy without anion corrections in meV per atom: 781

[5]
Density functional theory data (SCAN) for a PBEsol-optimized structure of KAl.

Structure (CIF):
```
data_KAl
_symmetry_space_group_name_H-M 'P m -3 m'
_symmetry_Int_Tables_number 221
_symmetry_space_group_name_Hall '-P 4 2 3'
_cell_length_a 4.034
_cell_length_b 4.034
_cell_length_c 4.034
_cell_angle_alpha 90.00
_cell_angle_beta 90.00
_cell_angle_gamma 90.00
loop_
_atom_site_label
_atom_site_type_symbol
_atom_site_fract_x
_atom_site_fract_y
_atom_site_fract_z
K1 K 0.000 0.000 0.000
Al1 Al 0.500 0.500 0.500
```

Properties
ΔH_f (0 K) in meV per atom: 600

[6]
Density functional theory data (SCAN) for a PBEsol-optimized structure of BaSnP2.

Structure (CIF):
```
data_BaSnP2
_symmetry_space_group_name_H-M 'I -4 2 d'
_symmetry_Int_Tables_number 122
_symmetry_space_group_name_Hall 'I -4 2bw'
_cell_length_a 7.438
_cell_length_b 7.438
_cell_length_c 8.162
_cell_angle_alpha 90.00
_cell_angle_beta 90.00
_cell_angle_gamma 90.00
loop_
_atom_site_label
_atom_site_type_symbol
_atom_site_fract_x
_atom_site_fract_y
_atom_site_fract_z
Ba1 Ba 0.000 0.000 0.000
Sn1 Sn 0.000 0.000 0.500
P1 P 0.178 0.250 0.625
```

Properties
ΔH_f (0 K) in meV per atom: -622

[7]
Density functional theory data (SCAN) for a PBEsol-optimized structure of ZrTl2Cl.

Structure (CIF):
```
data_ZrTl2Cl
_symmetry_space_group_name_H-M 'R -3 m'
_symmetry_Int_Tables_number 166
_symmetry_space_group_name_Hall '-R 3 2"'
_cell_length_a 3.4333
_cell_length_b 3.4333
_cell_length_c 27.4983
_cell_angle_alpha 90.00
_cell_angle_beta 90.00
_cell_angle_gamma 120.00
loop_
_atom_site_label
_atom_site_type_symbol
_atom_site_fract_x
_atom_site_fract_y
_atom_site_fract_z
Zr1 Zr 0.0000 0.0000 0.0000
Tl1 Tl 0.0000 0.0000 0.2492
Cl1 Cl 0.0000 0.0000 0.5000
```

Properties
Formation energy without anion corrections in meV per atom: -204

[8]
Density functional theory data (SCAN) for a PBEsol-optimized structure of CaY2Br.

Structure (CIF):
```
data_CaY2Br
_symmetry_space_group_name_H-M 'C 1 2/m 1'
_symmetry_Int_Tables_number 12
_symmetry_space_group_name_Hall '-C 2y'
_cell_length_a 6.523
_cell_length_b 12.355
_cell_length_c 3.553
_cell_angle_alpha 90.00
_cell_angle_beta 121.82
_cell_angle_gamma 90.00
loop_
_atom_site_label
_atom_site_type_symbol
_atom_site_fract_x
_atom_site_fract_y
_atom_site_fract_z
Ca1 Ca 0.000 0.000 0.000
Y1 Y 0.250 0.250 0.500
Br1 Br 0.000 0.500 0.000
```

Properties
Formation energy without anion corrections in meV per atom: -238